# 1
Entry from OQMD via LeMat-Bulk: an optimized crystal structure of TbFeB (PBE).

Calculated values
For the raw total energy, the calculation gives -18.707 eV per formula unit.

```
data_TbFeB
_cell_length_a 4.1027
_cell_length_b 4.1027
_cell_length_c 4.1027
_cell_angle_alpha 60.00
_cell_angle_beta 60.00
_cell_angle_gamma 60.00
_space_group_name_H-M_alt 'P 1'
_space_group_IT_number 1
_space_group_name_Hall 'P 1'
loop_
_atom_site_label
_atom_site_type_symbol
_atom_site_fract_x
_atom_site_fract_y
_atom_site_fract_z
Tb1 Tb 0.0000 0.0000 0.0000
Fe1 Fe 0.5000 0.5000 0.5000
B1 B 0.7500 0.7500 0.7500
```


# 2
Entry from OQMD via LeMat-Bulk: an optimized crystal structure of FeTcB4 (PBE).

Calculated values
The excess energy over the best structure of this formula in the dataset comes out at 0.0000 eV/atom.

```
data_FeTcB4
_cell_length_a 4.3789
_cell_length_b 4.3789
_cell_length_c 4.3789
_cell_angle_alpha 140.33
_cell_angle_beta 106.22
_cell_angle_gamma 87.19
_space_group_name_H-M_alt 'P 1'
_space_group_IT_number 1
_space_group_name_Hall 'P 1'
loop_
_atom_site_label
_atom_site_type_symbol
_atom_site_fract_x
_atom_site_fract_y
_atom_site_fract_z
Fe1 Fe 0.0000 0.0000 0.0000
Tc1 Tc 0.5000 0.5000 0.0000
B1 B 0.0793 0.7432 0.3361
B2 B 0.4070 0.7432 0.6639
B3 B 0.5930 0.2568 0.3361
B4 B 0.9207 0.2568 0.6639
```


# 3
Entry from OQMD via LeMat-Bulk: an optimized crystal structure of FeTcB4 (PBE).

Calculated values
The excess energy over the best structure of this formula in the dataset comes out at 0.0133 eV/atom.

```
data_FeTcB4
_cell_length_a 2.9697
_cell_length_b 2.9697
_cell_length_c 6.2682
_cell_angle_alpha 90.00
_cell_angle_beta 90.00
_cell_angle_gamma 120.00
_space_group_name_H-M_alt 'P 1'
_space_group_IT_number 1
_space_group_name_Hall 'P 1'
loop_
_atom_site_label
_atom_site_type_symbol
_atom_site_fract_x
_atom_site_fract_y
_atom_site_fract_z
Fe1 Fe 0.0000 0.0000 0.0000
Tc1 Tc 0.0000 0.0000 0.5000
B1 B 0.3333 0.6667 0.2293
B2 B 0.3333 0.6667 0.7707
B3 B 0.6667 0.3333 0.2293
B4 B 0.6667 0.3333 0.7707
```


# 4
Entry from OQMD via LeMat-Bulk: an optimized crystal structure of FeTc2B (PBE).

Calculated values
For the raw total energy, the calculation gives -33.951 eV per formula unit.

```
data_FeTc2B
_cell_length_a 4.0546
_cell_length_b 4.0546
_cell_length_c 4.0546
_cell_angle_alpha 60.00
_cell_angle_beta 60.00
_cell_angle_gamma 60.00
_space_group_name_H-M_alt 'P 1'
_space_group_IT_number 1
_space_group_name_Hall 'P 1'
loop_
_atom_site_label
_atom_site_type_symbol
_atom_site_fract_x
_atom_site_fract_y
_atom_site_fract_z
Fe1 Fe 0.0000 0.0000 0.0000
Tc1 Tc 0.5000 0.5000 0.5000
Tc2 Tc 0.7500 0.7500 0.7500
B1 B 0.2500 0.2500 0.2500
```


# 5
Entry from OQMD via LeMat-Bulk: an optimized crystal structure of FeTcB (PBE).

Calculated values
The excess energy over the best structure of this formula in the dataset comes out at 0.0000 eV/atom.

```
data_FeTcB
_cell_length_a 3.6704
_cell_length_b 3.6704
_cell_length_c 3.6704
_cell_angle_alpha 60.00
_cell_angle_beta 60.00
_cell_angle_gamma 60.00
_space_group_name_H-M_alt 'P 1'
_space_group_IT_number 1
_space_group_name_Hall 'P 1'
loop_
_atom_site_label
_atom_site_type_symbol
_atom_site_fract_x
_atom_site_fract_y
_atom_site_fract_z
Fe1 Fe 0.0000 0.0000 0.0000
Tc1 Tc 0.2500 0.2500 0.2500
B1 B 0.7500 0.7500 0.7500
```


# 6
Entry from OQMD via LeMat-Bulk: an optimized crystal structure of Fe2TcB (PBE).

Calculated values
For the raw total energy, the calculation gives -33.050 eV per formula unit.

```
data_Fe2TcB
_cell_length_a 3.9124
_cell_length_b 3.9124
_cell_length_c 3.9124
_cell_angle_alpha 60.00
_cell_angle_beta 60.00
_cell_angle_gamma 60.00
_space_group_name_H-M_alt 'P 1'
_space_group_IT_number 1
_space_group_name_Hall 'P 1'
loop_
_atom_site_label
_atom_site_type_symbol
_atom_site_fract_x
_atom_site_fract_y
_atom_site_fract_z
Fe1 Fe 0.0000 0.0000 0.0000
Fe2 Fe 0.2500 0.2500 0.2500
Tc1 Tc 0.7500 0.7500 0.7500
B1 B 0.5000 0.5000 0.5000
```


# 7
Entry from OQMD via LeMat-Bulk: an optimized crystal structure of ZnFeTcB (PBE).

Calculated values
The excess energy over the best structure of this formula in the dataset comes out at 0.0000 eV/atom.

```
data_ZnFeTcB
_cell_length_a 4.0016
_cell_length_b 4.0016
_cell_length_c 4.0016
_cell_angle_alpha 60.00
_cell_angle_beta 60.00
_cell_angle_gamma 60.00
_space_group_name_H-M_alt 'P 1'
_space_group_IT_number 1
_space_group_name_Hall 'P 1'
loop_
_atom_site_label
_atom_site_type_symbol
_atom_site_fract_x
_atom_site_fract_y
_atom_site_fract_z
Zn1 Zn 0.0000 0.0000 0.0000
Fe1 Fe 0.7500 0.7500 0.7500
Tc1 Tc 0.2500 0.2500 0.2500
B1 B 0.5000 0.5000 0.5000
```


# 8
Entry from OQMD via LeMat-Bulk: an optimized crystal structure of ZnFeTcB (PBE).

Calculated values
The excess energy over the best structure of this formula in the dataset comes out at 0.2649 eV/atom.

```
data_ZnFeTcB
_cell_length_a 4.0152
_cell_length_b 4.0152
_cell_length_c 4.0152
_cell_angle_alpha 60.00
_cell_angle_beta 60.00
_cell_angle_gamma 60.00
_space_group_name_H-M_alt 'P 1'
_space_group_IT_number 1
_space_group_name_Hall 'P 1'
loop_
_atom_site_label
_atom_site_type_symbol
_atom_site_fract_x
_atom_site_fract_y
_atom_site_fract_z
Zn1 Zn 0.0000 0.0000 0.0000
Fe1 Fe 0.5000 0.5000 0.5000
Tc1 Tc 0.7500 0.7500 0.7500
B1 B 0.2500 0.2500 0.2500
```


# 9
Entry from OQMD via LeMat-Bulk: an optimized crystal structure of ZrFeTcB (PBE).

Calculated values
The excess energy over the best structure of this formula in the dataset comes out at 0.1396 eV/atom.

```
data_ZrFeTcB
_cell_length_a 4.2964
_cell_length_b 4.2964
_cell_length_c 4.2964
_cell_angle_alpha 60.00
_cell_angle_beta 60.00
_cell_angle_gamma 60.00
_space_group_name_H-M_alt 'P 1'
_space_group_IT_number 1
_space_group_name_Hall 'P 1'
loop_
_atom_site_label
_atom_site_type_symbol
_atom_site_fract_x
_atom_site_fract_y
_atom_site_fract_z
Zr1 Zr 0.0000 0.0000 0.0000
Fe1 Fe 0.5000 0.5000 0.5000
Tc1 Tc 0.7500 0.7500 0.7500
B1 B 0.2500 0.2500 0.2500
```


# 10
Entry from OQMD via LeMat-Bulk: an optimized crystal structure of ZrFeTcB (PBE).

Calculated values
The excess energy over the best structure of this formula in the dataset comes out at 0.0000 eV/atom.

```
data_ZrFeTcB
_cell_length_a 4.2115
_cell_length_b 4.2115
_cell_length_c 4.2115
_cell_angle_alpha 60.00
_cell_angle_beta 60.00
_cell_angle_gamma 60.00
_space_group_name_H-M_alt 'P 1'
_space_group_IT_number 1
_space_group_name_Hall 'P 1'
loop_
_atom_site_label
_atom_site_type_symbol
_atom_site_fract_x
_atom_site_fract_y
_atom_site_fract_z
Zr1 Zr 0.0000 0.0000 0.0000
Fe1 Fe 0.7500 0.7500 0.7500
Tc1 Tc 0.2500 0.2500 0.2500
B1 B 0.5000 0.5000 0.5000
```


# 11
Entry from OQMD via LeMat-Bulk: an optimized crystal structure of FeB2Te (PBE).

Calculated values
For the raw total energy, the calculation gives -18.296 eV per formula unit.

```
data_FeB2Te
_cell_length_a 4.1149
_cell_length_b 4.1149
_cell_length_c 4.1149
_cell_angle_alpha 60.00
_cell_angle_beta 60.00
_cell_angle_gamma 60.00
_space_group_name_H-M_alt 'P 1'
_space_group_IT_number 1
_space_group_name_Hall 'P 1'
loop_
_atom_site_label
_atom_site_type_symbol
_atom_site_fract_x
_atom_site_fract_y
_atom_site_fract_z
Fe1 Fe 0.0000 0.0000 0.0000
B1 B 0.2500 0.2500 0.2500
B2 B 0.5000 0.5000 0.5000
Te1 Te 0.7500 0.7500 0.7500
```


# 12
Entry from OQMD via LeMat-Bulk: an optimized crystal structure of FeBTe2 (PBE).

Calculated values
For the raw total energy, the calculation gives -15.409 eV per formula unit.

```
data_FeBTe2
_cell_length_a 4.6705
_cell_length_b 4.6705
_cell_length_c 4.6705
_cell_angle_alpha 60.00
_cell_angle_beta 60.00
_cell_angle_gamma 60.00
_space_group_name_H-M_alt 'P 1'
_space_group_IT_number 1
_space_group_name_Hall 'P 1'
loop_
_atom_site_label
_atom_site_type_symbol
_atom_site_fract_x
_atom_site_fract_y
_atom_site_fract_z
Fe1 Fe 0.0000 0.0000 0.0000
B1 B 0.7500 0.7500 0.7500
Te1 Te 0.2500 0.2500 0.2500
Te2 Te 0.5000 0.5000 0.5000
```